Density functional theory data (PBE) for Tb3Ge13Ir4 after structural relaxation.

Cell lengths 9.056, 9.056, 9.056 Å; angles 90.00, 90.00, 90.00 degrees
Space group Pm-3n (No. 223)
Symmetry-distinct sites (fractional):
Tb1 0.000 0.250 0.500 x6
Ge1 0.000 0.000 0.000 x2
Ge2 0.000 0.308 0.145 x24
Ir1 0.250 0.250 0.250 x8

As for the total DFT energy (no corrections): -5.988 eV/atom. As for the size of the total moment: 0.000 μB per formula unit. The calculation puts the density of states at the Fermi level at 13.09 states/eV/cell. The value obtained for the formation energy is -0.520 eV per atom.